[1]
Material: HoHfPd2
Method: DFT, PBE-GGA
State: relaxed

Geometry as POSCAR:
```
HoHfPd2
1.0
-1.762 -2.788 -3.505
2.997 -2.347 -2.943
0.408 -4.786 0.298
Hf Ho Pd
1 1 2
direct
0.500 0.500 0.500
0.000 0.000 0.000
0.750 0.750 0.750
0.250 0.250 0.250
```

Values from the calculation:
SG: No. 225
Mass density in Mg/m³: 11.72
E in eV/cell: -27.7
Distance to the lowest polymorph of the same formula in eV/atom: 0.049
Energy of formation in kcal/mol of atoms: -16.3

***

[2]
Material: HoHfPd4
Method: DFT, PBE-GGA
State: relaxed

Geometry as POSCAR:
```
HoHfPd4
1.0
-3.380 1.977 -1.165
-3.765 -5.269 1.982
-1.302 6.501 14.808
Pd Hf Ho
16 4 4
direct
0.250 0.063 0.378
0.750 0.779 0.410
0.250 0.563 0.122
0.750 0.868 0.179
0.750 0.437 0.878
0.250 0.132 0.821
0.250 0.721 0.910
0.750 0.279 0.090
0.250 0.459 0.441
0.750 0.937 0.622
0.250 0.221 0.590
0.250 0.959 0.059
0.750 0.541 0.559
0.250 0.632 0.679
0.750 0.368 0.321
0.750 0.041 0.941
0.750 0.693 0.026
0.250 0.807 0.526
0.250 0.307 0.974
0.750 0.193 0.474
0.250 0.681 0.290
0.250 0.181 0.210
0.750 0.319 0.710
0.750 0.819 0.790
```

Values from the calculation:
SG: No. 62
Mass density in Mg/m³: 11.38
E in eV/cell: -159.1
Energy of formation in kcal/mol of atoms: -17.2

***

[3]
Material: HoHfPd2
Method: DFT, PBE-GGA
State: relaxed

Geometry as POSCAR:
```
HoHfPd2
1.0
-0.589 -3.287 -0.586
3.254 -0.698 0.646
-1.536 -0.926 6.735
Pd Hf Ho
2 1 1
direct
0.000 0.000 0.217
0.000 0.000 0.783
0.500 0.500 0.000
0.500 0.500 0.500
```

Values from the calculation:
SG: No. 123
Mass density in Mg/m³: 11.53
E in eV/cell: -27.9
Distance to the lowest polymorph of the same formula in eV/atom: 0.000
Energy of formation in kcal/mol of atoms: -17.4

***

[4]
Material: Ho3HfPd12
Method: DFT, PBE-GGA
State: relaxed

Geometry as POSCAR:
```
Ho3HfPd12
1.0
4.087 0.000 0.000
0.000 4.087 0.000
0.000 0.000 16.345
Pd Ho Hf
12 3 1
direct
0.500 0.500 0.000
0.000 0.500 0.627
0.500 0.500 0.754
0.500 0.500 0.246
0.000 0.500 0.118
0.000 0.500 0.882
0.500 0.000 0.373
0.500 0.000 0.882
0.500 0.000 0.627
0.500 0.500 0.500
0.000 0.500 0.373
0.500 0.000 0.118
0.000 0.000 0.500
0.000 0.000 0.247
0.000 0.000 0.753
0.000 0.000 0.000
```

Values from the calculation:
SG: No. 123
Mass density in Mg/m³: 11.86
E in eV/cell: -100.4
Energy of formation in kcal/mol of atoms: -20.7

***

[5]
Material: HoHf3Pd12
Method: DFT, PBE-GGA
State: relaxed

Geometry as POSCAR:
```
HoHf3Pd12
1.0
-2.451 1.125 -2.998
2.487 -1.708 -2.675
-8.079 -13.928 1.381
Pd Hf Ho
12 3 1
direct
0.500 0.500 0.500
0.500 0.000 0.377
0.500 0.000 0.868
0.500 0.500 0.745
0.000 0.500 0.132
0.500 0.500 0.255
0.000 0.500 0.623
0.000 0.500 0.868
0.000 0.500 0.377
0.500 0.500 0.000
0.500 0.000 0.132
0.500 0.000 0.623
0.000 0.000 0.250
0.000 0.000 0.500
0.000 0.000 0.750
0.000 0.000 0.000
```

Values from the calculation:
SG: No. 123
Mass density in Mg/m³: 12.50
E in eV/cell: -111.2
Energy of formation in kcal/mol of atoms: -20.8

***

[6]
Material: HoHf2Pd8
Method: DFT, PBE-GGA
State: relaxed

Geometry as POSCAR:
```
HoHf2Pd8
1.0
-0.840 -3.554 -1.865
-1.320 -2.789 5.910
-5.755 4.591 -1.647
Pd Hf Ho
8 2 1
direct
0.854 0.799 0.708
0.146 0.201 0.292
0.958 0.282 0.916
0.601 0.459 0.203
0.319 0.089 0.638
0.681 0.911 0.362
0.399 0.541 0.797
0.042 0.718 0.084
0.779 0.333 0.558
0.221 0.667 0.442
0.500 0.000 0.000
```

Values from the calculation:
SG: No. 12
Mass density in Mg/m³: 12.08
E in eV/cell: -74.5
Energy of formation in kcal/mol of atoms: -17.8

***

[7]
Material: HoHfPd2
Method: DFT, PBE-GGA
State: relaxed

Geometry as POSCAR:
```
HoHfPd2
1.0
3.952 0.000 0.000
1.976 3.423 0.000
1.976 1.141 6.500
Hf Pd Ho
1 2 1
direct
0.000 0.000 0.000
0.259 0.259 0.222
0.741 0.741 0.778
0.500 0.500 0.500
```

Values from the calculation:
SG: No. 166
Mass density in Mg/m³: 10.50
E in eV/cell: -27.2
Distance to the lowest polymorph of the same formula in eV/atom: 0.178
Energy of formation in kcal/mol of atoms: -13.3

***

[8]
Material: HoHfPdPt
Method: DFT, PBE-GGA
State: relaxed

Geometry as POSCAR:
```
HoHfPdPt
1.0
-3.063 3.566 -0.993
-4.336 -0.993 -1.817
-3.931 0.611 2.694
Pt Ho Pd Hf
1 1 1 1
direct
0.750 0.750 0.750
0.000 0.000 0.000
0.250 0.250 0.250
0.500 0.500 0.500
```

Values from the calculation:
SG: No. 216
Mass density in Mg/m³: 13.66
E in eV/cell: -29.4
Energy of formation in kcal/mol of atoms: -20.8

***

[9]
Material: HoHfRePd
Method: DFT, PBE-GGA
State: relaxed

Geometry as POSCAR:
```
HoHfRePd
1.0
4.753 0.000 0.000
2.377 4.117 0.000
2.377 1.372 3.881
Ho Pd Re Hf
1 1 1 1
direct
0.750 0.750 0.750
0.000 0.000 0.000
0.500 0.500 0.500
0.250 0.250 0.250
```

Values from the calculation:
SG: No. 216
Mass density in Mg/m³: 13.91
E in eV/cell: -33.8
Energy of formation in kcal/mol of atoms: -9.2

***

[10]
Material: HoHfPdRu
Method: DFT, PBE-GGA
State: relaxed

Geometry as POSCAR:
```
HoHfPdRu
1.0
-3.100 3.155 1.724
-3.773 -1.485 2.468
-0.236 0.784 4.676
Pd Hf Ru Ho
1 1 1 1
direct
0.250 0.250 0.250
0.000 0.000 0.000
0.750 0.750 0.750
0.500 0.500 0.500
```

Values from the calculation:
SG: No. 216
Mass density in Mg/m³: 12.09
E in eV/cell: -31.6
Energy of formation in kcal/mol of atoms: -15.0

***

[11]
Material: Pr2HoHf
Method: DFT, PBE-GGA
State: relaxed

Geometry as POSCAR:
```
Pr2HoHf
1.0
4.863 0.000 0.000
0.000 4.995 0.000
0.000 0.000 4.995
Pr Hf Ho
2 1 1
direct
0.000 0.000 0.500
0.000 0.500 0.000
0.500 0.500 0.500
0.500 0.000 0.000
```

Values from the calculation:
SG: No. 123
Mass density in Mg/m³: 8.56
E in eV/cell: -23.4
Distance to the lowest polymorph of the same formula in eV/atom: 0.000
Energy of formation in kcal/mol of atoms: 4.3

***

[12]
Material: Pr2HoHf
Method: DFT, PBE-GGA
State: relaxed

Geometry as POSCAR:
```
Pr2HoHf
1.0
3.396 0.000 0.000
1.698 2.941 0.000
1.698 0.980 12.284
Hf Pr Ho
1 2 1
direct
0.000 0.000 0.000
0.085 0.085 0.745
0.915 0.915 0.255
0.500 0.500 0.500
```

Values from the calculation:
SG: No. 166
Mass density in Mg/m³: 8.46
E in eV/cell: -22.5
Distance to the lowest polymorph of the same formula in eV/atom: 0.204
Energy of formation in kcal/mol of atoms: 8.9